# Li2MgI5, relaxed, DFT PBE
# Energy relative to the elements, uncorrected = -7.2 eV per formula unit
# Total magnetic moment = 0.060 μB per atom
data_Li2MgI5
_cell_length_a 6.160
_cell_length_b 14.677
_cell_length_c 13.324
_cell_angle_alpha 90.00
_cell_angle_beta 90.00
_cell_angle_gamma 90.00
_space_group_name_H-M_alt 'C m c m'
_space_group_IT_number 63
_space_group_name_Hall '-C 2c 2'
loop_
_atom_site_label
_atom_site_fract_x
_atom_site_fract_y
_atom_site_fract_z
Li1 0.000 0.205 0.094
Mg1 0.000 0.160 0.750
I1 0.000 0.007 0.124
I2 0.000 0.290 0.594
I3 0.000 0.333 0.250

=====

# Mg4In5, relaxed, DFT PBE
# ΔE to the lowest computed polymorph = 0.015 eV per atom
# Total magnetic moment = 0.000 μB per atom
data_Mg4In5
_cell_length_a 9.0600
_cell_length_b 9.0600
_cell_length_c 6.2210
_cell_angle_alpha 90.00
_cell_angle_beta 90.00
_cell_angle_gamma 120.00
_space_group_name_H-M_alt 'P 63/m c m'
_space_group_IT_number 193
_space_group_name_Hall '-P 6c 2'
loop_
_atom_site_label
_atom_site_fract_x
_atom_site_fract_y
_atom_site_fract_z
Mg1 0.0000 0.0000 0.0000
Mg2 0.0000 0.3636 0.2500
In1 0.0000 0.3002 0.7500
In2 0.3333 0.6667 0.0000

=====

# Th2CCl, relaxed, DFT PBE
# Energy relative to the elements, uncorrected = -3.6 eV per formula unit
# Total magnetic moment = 0.000 μB per atom
data_Th2CCl
_cell_length_a 3.6593
_cell_length_b 3.6593
_cell_length_c 22.9678
_cell_angle_alpha 90.00
_cell_angle_beta 90.00
_cell_angle_gamma 120.00
_space_group_name_H-M_alt 'R 3 m'
_space_group_IT_number 160
_space_group_name_Hall 'R 3 -2"'
loop_
_atom_site_label
_atom_site_fract_x
_atom_site_fract_y
_atom_site_fract_z
Th1 0.0000 0.0000 0.0000
Th2 0.0000 0.0000 0.2070
C1 0.0000 0.0000 0.6015
Cl1 0.0000 0.0000 0.4348

=====

# Cu4Si3, relaxed, DFT PBE
# ΔE to the lowest computed polymorph = 0.000 eV per atom
# Energy relative to the elements, uncorrected = 0.5 eV per formula unit
# Total magnetic moment = 0.000 μB per atom
data_Cu4Si3
_cell_length_a 3.291
_cell_length_b 3.291
_cell_length_c 16.823
_cell_angle_alpha 90.00
_cell_angle_beta 90.00
_cell_angle_gamma 90.00
_space_group_name_H-M_alt 'I 4/m m m'
_space_group_IT_number 139
_space_group_name_Hall '-I 4 2'
loop_
_atom_site_label
_atom_site_fract_x
_atom_site_fract_y
_atom_site_fract_z
Cu1 0.000 0.000 0.073
Cu2 0.000 0.000 0.355
Si1 0.000 0.000 0.214
Si2 0.000 0.000 0.500

=====

# LaCeY4, relaxed, DFT PBE
# Raw total energy = -0.22254 hartree per atom
# Total magnetic moment = 0.216 μB per atom
data_LaCeY4
_cell_length_a 11.911
_cell_length_b 3.585
_cell_length_c 10.283
_cell_angle_alpha 90.00
_cell_angle_beta 115.63
_cell_angle_gamma 90.00
_space_group_name_H-M_alt 'C 1 2 1'
_space_group_IT_number 5
loop_
_space_group_symop_operation_xyz
'x,y,z'
'-x,y,-z'
'x+1/2,y+1/2,z'
'-x+1/2,y+1/2,-z'
loop_
_atom_site_label
_atom_site_fract_x
_atom_site_fract_y
_atom_site_fract_z
La1 0.000 0.000 0.000
Ce1 0.000 0.003 0.500
Y1 0.166 0.503 0.828
Y2 0.167 0.501 0.338

=====

# HoEr3Th3, relaxed, DFT PBE
# ΔE to the lowest computed polymorph = 0.277 eV per atom
# Total magnetic moment = 0.000 μB per atom
data_HoEr3Th3
_cell_length_a 8.7588
_cell_length_b 8.7588
_cell_length_c 21.3399
_cell_angle_alpha 90.00
_cell_angle_beta 90.00
_cell_angle_gamma 120.00
_space_group_name_H-M_alt 'R -3'
_space_group_IT_number 148
_space_group_name_Hall '-R 3'
loop_
_atom_site_label
_atom_site_fract_x
_atom_site_fract_y
_atom_site_fract_z
Ho1 0.0000 0.0000 0.1457
Er1 0.0514 0.7767 0.7137
Th1 0.0087 0.7593 0.5540

=====

# BaCa2Sm, relaxed, DFT PBE
# ΔE to the lowest computed polymorph = 0.027 eV per atom
# Total magnetic moment = 0.000 μB per atom
data_BaCa2Sm
_cell_length_a 3.9024
_cell_length_b 3.9024
_cell_length_c 39.0353
_cell_angle_alpha 90.00
_cell_angle_beta 90.00
_cell_angle_gamma 120.00
_space_group_name_H-M_alt 'R -3 m'
_space_group_IT_number 166
_space_group_name_Hall '-R 3 2"'
loop_
_atom_site_label
_atom_site_fract_x
_atom_site_fract_y
_atom_site_fract_z
Ba1 0.0000 0.0000 0.0000
Ca1 0.0000 0.0000 0.2443
Sm1 0.0000 0.0000 0.5000

=====

# RbVHg2, relaxed, DFT PBE
# ΔE to the lowest computed polymorph = 0.000 eV per atom
# Total magnetic moment = 0.984 μB per atom
data_RbVHg2
_cell_length_a 5.944
_cell_length_b 5.944
_cell_length_c 18.595
_cell_angle_alpha 90.00
_cell_angle_beta 90.00
_cell_angle_gamma 90.00
_space_group_name_H-M_alt 'I -4 2 d'
_space_group_IT_number 122
_space_group_name_Hall 'I -4 2bw'
loop_
_atom_site_label
_atom_site_fract_x
_atom_site_fract_y
_atom_site_fract_z
Rb1 0.000 0.000 0.000
V1 0.000 0.000 0.500
Hg1 0.025 0.250 0.625

=====

# SrPrP, relaxed, DFT PBE
# Raw total energy = -0.17642 hartree per atom
# Total magnetic moment = 0.124 μB per atom
data_SrPrP
_cell_length_a 4.2286
_cell_length_b 4.2286
_cell_length_c 7.0583
_cell_angle_alpha 90.00
_cell_angle_beta 90.00
_cell_angle_gamma 120.00
_space_group_name_H-M_alt 'P 3 m 1'
_space_group_IT_number 156
loop_
_space_group_symop_operation_xyz
'x,y,z'
'-y,x-y,z'
'-x+y,-x,z'
'-y,-x,z'
'-x+y,y,z'
'x,x-y,z'
loop_
_atom_site_label
_atom_site_fract_x
_atom_site_fract_y
_atom_site_fract_z
Sr1 0.0000 0.0000 0.0000
Pr1 0.3333 0.6667 0.4755
P1 0.6667 0.3333 0.2673

=====

# Nd3Er3Mg2, relaxed, DFT PBE
# Raw total energy = -0.14092 hartree per atom
# Total magnetic moment = 0.000 μB per atom
data_Nd3Er3Mg2
_cell_length_a 5.348
_cell_length_b 11.782
_cell_length_c 15.756
_cell_angle_alpha 90.00
_cell_angle_beta 90.00
_cell_angle_gamma 90.00
_space_group_name_H-M_alt 'C m c m'
_space_group_IT_number 63
_space_group_name_Hall '-C 2c 2'
loop_
_atom_site_label
_atom_site_fract_x
_atom_site_fract_y
_atom_site_fract_z
Nd1 0.000 0.038 0.104
Nd2 0.000 0.248 0.250
Er1 0.000 0.355 0.035
Er2 0.000 0.477 0.750
Mg1 0.000 0.232 0.644

=====

# Ac3GaSn, relaxed, DFT PBE
# Raw total energy = -0.15611 hartree per atom
# Total magnetic moment = 0.000 μB per atom
data_Ac3GaSn
_cell_length_a 11.293
_cell_length_b 7.055
_cell_length_c 11.385
_cell_angle_alpha 90.00
_cell_angle_beta 119.92
_cell_angle_gamma 90.00
_space_group_name_H-M_alt 'P 1 21/c 1'
_space_group_IT_number 14
loop_
_space_group_symop_operation_xyz
'x,y,z'
'-x,-y,-z'
'-x,y+1/2,-z+1/2'
'x,-y+1/2,z+1/2'
loop_
_atom_site_label
_atom_site_fract_x
_atom_site_fract_y
_atom_site_fract_z
Ac1 0.000 0.000 0.250
Ac2 0.224 0.250 0.111
Ac3 0.364 0.750 0.430
Ga1 0.316 0.249 0.406
Sn1 0.144 0.750 0.071

=====

# In2Pb2O, relaxed, DFT PBE
# Energy relative to the elements, uncorrected = -0.8 eV per formula unit
# Total magnetic moment = 0.000 μB per atom
data_In2Pb2O
_cell_length_a 6.415
_cell_length_b 6.415
_cell_length_c 6.029
_cell_angle_alpha 90.00
_cell_angle_beta 90.00
_cell_angle_gamma 90.00
_space_group_name_H-M_alt 'P 4/m b m'
_space_group_IT_number 127
_space_group_name_Hall '-P 4 2ab'
loop_
_atom_site_label
_atom_site_fract_x
_atom_site_fract_y
_atom_site_fract_z
In1 0.174 0.326 0.000
Pb1 0.194 0.694 0.500
O1 0.000 0.000 0.000

=====

# As2WSe, relaxed, DFT PBE
# Energy relative to the elements, uncorrected = 1.1 eV per formula unit
# Total magnetic moment = 0.000 μB per atom
data_As2WSe
_cell_length_a 3.260
_cell_length_b 3.260
_cell_length_c 6.666
_cell_angle_alpha 90.00
_cell_angle_beta 90.00
_cell_angle_gamma 90.00
_space_group_name_H-M_alt 'P 4/m m m'
_space_group_IT_number 123
_space_group_name_Hall '-P 4 2'
loop_
_atom_site_label
_atom_site_fract_x
_atom_site_fract_y
_atom_site_fract_z
As1 0.000 0.000 0.213
W1 0.500 0.500 0.000
Se1 0.500 0.500 0.500

=====

# KMgCd, relaxed, DFT PBE
# ΔE to the lowest computed polymorph = 0.214 eV per atom
# Total magnetic moment = 0.000 μB per atom
data_KMgCd
_cell_length_a 7.704
_cell_length_b 7.704
_cell_length_c 7.704
_cell_angle_alpha 90.00
_cell_angle_beta 90.00
_cell_angle_gamma 90.00
_space_group_name_H-M_alt 'F -4 3 m'
_space_group_IT_number 216
_space_group_name_Hall 'F -4 2 3'
loop_
_atom_site_label
_atom_site_fract_x
_atom_site_fract_y
_atom_site_fract_z
K1 0.000 0.000 0.000
Mg1 0.000 0.000 0.500
Cd1 0.250 0.250 0.750

=====

# Pm3SnBi2, relaxed, DFT PBE
# Raw total energy = -0.18931 hartree per atom
# Total magnetic moment = 0.000 μB per atom
data_Pm3SnBi2
_cell_length_a 4.494
_cell_length_b 6.445
_cell_length_c 13.789
_cell_angle_alpha 90.00
_cell_angle_beta 90.00
_cell_angle_gamma 90.00
_space_group_name_H-M_alt 'I m m m'
_space_group_IT_number 71
_space_group_name_Hall '-I 2 2'
loop_
_atom_site_label
_atom_site_fract_x
_atom_site_fract_y
_atom_site_fract_z
Pm1 0.000 0.000 0.000
Pm2 0.000 0.000 0.335
Sn1 0.000 0.500 0.000
Bi1 0.000 0.500 0.332

=====

# LiAg6Sb, relaxed, DFT PBE
# ΔE to the lowest computed polymorph = 0.000 eV per atom
# Energy relative to the elements, uncorrected = -0.3 eV per formula unit
# Total magnetic moment = 0.000 μB per atom
data_LiAg6Sb
_cell_length_a 8.275
_cell_length_b 8.318
_cell_length_c 4.295
_cell_angle_alpha 90.00
_cell_angle_beta 90.00
_cell_angle_gamma 90.00
_space_group_name_H-M_alt 'C m m m'
_space_group_IT_number 65
_space_group_name_Hall '-C 2 2'
loop_
_atom_site_label
_atom_site_fract_x
_atom_site_fract_y
_atom_site_fract_z
Li1 0.000 0.000 0.000
Ag1 0.000 0.242 0.500
Ag2 0.241 0.000 0.500
Ag3 0.250 0.250 0.000
Sb1 0.000 0.500 0.000

=====

# CoSb3, relaxed, DFT PBE
# ΔE to the lowest computed polymorph = 0.748 eV per atom
# Energy relative to the elements, uncorrected = 2.2 eV per formula unit
# Total magnetic moment = 0.313 μB per atom
data_CoSb3
_cell_length_a 4.749
_cell_length_b 4.749
_cell_length_c 8.050
_cell_angle_alpha 90.00
_cell_angle_beta 90.00
_cell_angle_gamma 90.00
_space_group_name_H-M_alt 'I 4/m m m'
_space_group_IT_number 139
_space_group_name_Hall '-I 4 2'
loop_
_atom_site_label
_atom_site_fract_x
_atom_site_fract_y
_atom_site_fract_z
Co1 0.000 0.000 0.000
Sb1 0.000 0.000 0.500
Sb2 0.000 0.500 0.250

=====

# Ca2NbSb, relaxed, DFT PBE
# Energy relative to the elements, uncorrected = 1.6 eV per formula unit
# Total magnetic moment = 0.376 μB per atom
data_Ca2NbSb
_cell_length_a 8.649
_cell_length_b 8.649
_cell_length_c 5.932
_cell_angle_alpha 90.00
_cell_angle_beta 90.00
_cell_angle_gamma 90.00
_space_group_name_H-M_alt 'I -4 2 d'
_space_group_IT_number 122
_space_group_name_Hall 'I -4 2bw'
loop_
_atom_site_label
_atom_site_fract_x
_atom_site_fract_y
_atom_site_fract_z
Ca1 0.237 0.250 0.125
Nb1 0.000 0.000 0.500
Sb1 0.000 0.000 0.000

=====

# Fe2RhSe, relaxed, DFT PBE
# Energy relative to the elements, uncorrected = 0.5 eV per formula unit
# Total magnetic moment = 1.529 μB per atom
data_Fe2RhSe
_cell_length_a 9.536
_cell_length_b 3.050
_cell_length_c 4.257
_cell_angle_alpha 90.00
_cell_angle_beta 116.40
_cell_angle_gamma 90.00
_space_group_name_H-M_alt 'C 1 2/m 1'
_space_group_IT_number 12
loop_
_space_group_symop_operation_xyz
'x,y,z'
'-x,-y,-z'
'-x,y,-z'
'x,-y,z'
'x+1/2,y+1/2,z'
'-x+1/2,-y+1/2,-z'
'-x+1/2,y+1/2,-z'
'x+1/2,-y+1/2,z'
loop_
_atom_site_label
_atom_site_fract_x
_atom_site_fract_y
_atom_site_fract_z
Fe1 0.236 0.000 0.236
Rh1 0.000 0.000 0.500
Se1 0.000 0.500 0.000

=====

# GdYAl4, relaxed, DFT PBE
# Raw total energy = -0.23715 hartree per atom
# Total magnetic moment = 1.248 μB per atom
data_GdYAl4
_cell_length_a 7.893
_cell_length_b 7.893
_cell_length_c 7.893
_cell_angle_alpha 90.00
_cell_angle_beta 90.00
_cell_angle_gamma 90.00
_space_group_name_H-M_alt 'F -4 3 m'
_space_group_IT_number 216
_space_group_name_Hall 'F -4 2 3'
loop_
_atom_site_label
_atom_site_fract_x
_atom_site_fract_y
_atom_site_fract_z
Gd1 0.000 0.000 0.000
Y1 0.250 0.250 0.750
Al1 0.125 0.125 0.375

=====

# BaPbC2, relaxed, DFT PBE
# Raw total energy = -0.16707 hartree per atom
# Total magnetic moment = 0.466 μB per atom
data_BaPbC2
_cell_length_a 6.774
_cell_length_b 6.774
_cell_length_c 7.828
_cell_angle_alpha 90.00
_cell_angle_beta 90.00
_cell_angle_gamma 90.00
_space_group_name_H-M_alt 'I -4 2 d'
_space_group_IT_number 122
_space_group_name_Hall 'I -4 2bw'
loop_
_atom_site_label
_atom_site_fract_x
_atom_site_fract_y
_atom_site_fract_z
Ba1 0.000 0.000 0.000
Pb1 0.000 0.000 0.500
C1 0.186 0.250 0.625

=====

# NdYTeAs, relaxed, DFT PBE
# Energy relative to the elements, uncorrected = -6.1 eV per formula unit
# Total magnetic moment = 0.000 μB per atom
data_NdYTeAs
_cell_length_a 4.2685
_cell_length_b 4.2685
_cell_length_c 21.6708
_cell_angle_alpha 90.00
_cell_angle_beta 90.00
_cell_angle_gamma 120.00
_space_group_name_H-M_alt 'R 3 m'
_space_group_IT_number 160
_space_group_name_Hall 'R 3 -2"'
loop_
_atom_site_label
_atom_site_fract_x
_atom_site_fract_y
_atom_site_fract_z
Nd1 0.0000 0.0000 0.0000
Y1 0.0000 0.0000 0.4794
Te1 0.0000 0.0000 0.2366
As1 0.0000 0.0000 0.7432

=====

# Mn2Sb3, relaxed, DFT PBE
# ΔE to the lowest computed polymorph = 0.188 eV per atom
# Energy relative to the elements, uncorrected = 1.1 eV per formula unit
# Total magnetic moment = 1.326 μB per atom
data_Mn2Sb3
_cell_length_a 4.7978
_cell_length_b 4.7978
_cell_length_c 5.5800
_cell_angle_alpha 90.00
_cell_angle_beta 90.00
_cell_angle_gamma 120.00
_space_group_name_H-M_alt 'P -3 m 1'
_space_group_IT_number 164
_space_group_name_Hall '-P 3 2"'
loop_
_atom_site_label
_atom_site_fract_x
_atom_site_fract_y
_atom_site_fract_z
Mn1 0.3333 0.6667 0.3841
Sb1 0.0000 0.0000 0.5000
Sb2 0.3333 0.6667 0.8679

=====

# Na2GeBrF, relaxed, DFT PBE
# Energy relative to the elements, uncorrected = -1.7 eV per formula unit
# Total magnetic moment = 0.283 μB per atom
data_Na2GeBrF
_cell_length_a 5.195
_cell_length_b 5.195
_cell_length_c 6.094
_cell_angle_alpha 90.00
_cell_angle_beta 90.00
_cell_angle_gamma 90.00
_space_group_name_H-M_alt 'P 4/m m m'
_space_group_IT_number 123
_space_group_name_Hall '-P 4 2'
loop_
_atom_site_label
_atom_site_fract_x
_atom_site_fract_y
_atom_site_fract_z
Na1 0.000 0.500 0.000
Ge1 0.000 0.000 0.500
Br1 0.500 0.500 0.000
F1 0.500 0.500 0.500

=====

# MnMo2HRh, relaxed, DFT PBE
# ΔE to the lowest computed polymorph = 0.043 eV per atom
# Total magnetic moment = 0.244 μB per atom
data_MnMo2HRh
_cell_length_a 3.921
_cell_length_b 3.921
_cell_length_c 3.924
_cell_angle_alpha 90.00
_cell_angle_beta 90.00
_cell_angle_gamma 90.00
_space_group_name_H-M_alt 'P 4/m m m'
_space_group_IT_number 123
_space_group_name_Hall '-P 4 2'
loop_
_atom_site_label
_atom_site_fract_x
_atom_site_fract_y
_atom_site_fract_z
Mn1 0.000 0.000 0.000
Mo1 0.000 0.500 0.500
H1 0.500 0.500 0.500
Rh1 0.500 0.500 0.000